[1]
Material: Rb2InAg2
Method: DFT, GGA-PBE
State: optimized geometry

Cell lengths 11.122, 11.122, 11.122 Å; angles 25.56, 25.56, 25.56 degrees
Fractional positions:
Rb (0.073, 0.073, 0.073)
Rb (0.927, 0.927, 0.927)
In (0.500, 0.500, 0.500)
Ag (0.178, 0.178, 0.178)
Ag (0.822, 0.822, 0.822)

Results
The space-group type is R-3m.

[2]
Material: Nd6Dy2HoTm3
Method: DFT, GGA-PBE
State: optimized geometry

Cell lengths 6.249, 6.249, 11.784 Å; angles 95.05, 95.05, 119.99 degrees
Fractional positions:
Nd (0.084, 0.417, 0.751)
Nd (0.249, 0.249, 0.249)
Nd (0.417, 0.084, 0.751)
Nd (0.583, 0.916, 0.249)
Nd (0.751, 0.751, 0.751)
Nd (0.916, 0.583, 0.249)
Dy (0.333, 0.667, 0.500)
Dy (0.667, 0.333, 0.500)
Ho (0.000, 0.000, 0.500)
Tm (0.167, 0.833, 0.000)
Tm (0.500, 0.500, 0.000)
Tm (0.833, 0.167, 0.000)

Results
The space-group type is C2/m.

[3]
Material: TbHo4Al5
Method: DFT, GGA-PBE
State: optimized geometry

Cell lengths 3.574, 3.574, 18.092 Å; angles 90.00, 90.00, 90.00 degrees
Fractional positions:
Tb (0.000, 0.000, 0.000)
Ho (0.000, 0.000, 0.202)
Ho (0.000, 0.000, 0.401)
Ho (0.000, 0.000, 0.599)
Ho (0.000, 0.000, 0.798)
Al (0.500, 0.500, 0.102)
Al (0.500, 0.500, 0.301)
Al (0.500, 0.500, 0.500)
Al (0.500, 0.500, 0.699)
Al (0.500, 0.500, 0.898)

Results
The space-group type is P4/mmm.

Short version: DFT formation energy = -43.0, 13.4, -394.1 meV per atom, in the order given.